La4NiCCl2: optimized geometry, PBE.

Calculated values
- Formation energy without anion corrections: -950 meV/atom

abc: 7.245 3.873 7.612
angles: 90.00 108.16 90.00
Space group P2/m (No. 10)
One atom of each set of equivalent atoms:
La: 0.208 0.000 0.204 x2
La: 0.258 0.500 0.799 x2
Ni: 0.500 0.000 0.000 x1
C: 0.000 0.500 0.000 x1
Cl: 0.000 0.000 0.500 x1
Cl: 0.500 0.500 0.500 x1


Pm3Tm5H12: optimized geometry, PBE.

Calculated values
- Total energy: -688.19 eV/cell

abc: 13.084 13.084 13.084
angles: 90.00 90.00 90.00
Space group Ia-3d (No. 230)
One atom of each set of equivalent atoms:
Pm: 0.000 0.250 0.125 x24
Tm: 0.000 0.000 0.000 x16
Tm: 0.000 0.250 0.375 x24
H: 0.008 0.066 0.653 x96


Sr2ThInO6: optimized geometry, PBE.

Calculated values
- Formation energy without anion corrections: -2582 meV/atom

abc: 6.024 6.148 10.412
angles: 90.00 124.59 90.00
Space group P2_1/c (No. 14)
One atom of each set of equivalent atoms:
Sr: 0.233 0.046 0.248 x4
Th: 0.500 0.000 0.000 x2
In: 0.000 0.000 0.500 x2
O: 0.146 0.210 0.947 x4
O: 0.233 0.703 0.944 x4
O: 0.348 0.040 0.745 x4


MgTl6In8: optimized geometry, PBE.

Calculated values
- Total energy: -111.06 eV/cell

abc: 9.3186 9.3186 17.5469
angles: 90.00 90.00 120.00
Space group R-3 (No. 148, hexagonal axes)
One atom of each set of equivalent atoms:
Mg: 0.0000 0.0000 0.0000 x3
Tl: 0.0190 0.2304 0.4152 x18
In: 0.0000 0.0000 0.1945 x6
In: 0.0249 0.4268 0.5806 x18


DyCoSe: optimized geometry, PBE.

Calculated values
- Formation energy without anion corrections: -380 meV/atom

abc: 3.7471 3.7471 10.3520
angles: 90.00 90.00 120.00
Space group P-6m2 (No. 187)
One atom of each set of equivalent atoms:
Dy: 0.0000 0.0000 0.1683 x2
Co: 0.0000 0.0000 0.5000 x1
Co: 0.6667 0.3333 0.0000 x1
Se: 0.6667 0.3333 0.3542 x2


CdAs2CSe: optimized geometry, PBE.

Calculated values
- Energy above the most stable polymorph in this dataset: 0 meV/atom
- Formation energy without anion corrections: 935 meV/atom

abc: 4.518 4.518 4.536
angles: 90.00 90.00 90.00
Space group P4/mmm (No. 123)
One atom of each set of equivalent atoms:
Cd: 0.000 0.000 0.000 x1
As: 0.000 0.500 0.500 x2
C: 0.000 0.000 0.500 x1
Se: 0.500 0.500 0.000 x1


no.,density (kg/m3)
1,5704
2,7661
3,6467
4,8189
5,7926
6,6335